This record from Alexandria describes crystalline Zn2RuPt at its relaxed geometry. The functional is PBE.

Cell lengths 4.3641, 4.3641, 4.3641 Å; angles 60.00, 60.00, 60.00 degrees
Closest atoms and distances in Å follow each position.
Fractional positions:
1 Zn 0.0000 0.0000 0.0000  4 Ru 2.67, 4 Zn 2.67
2 Zn 0.2500 0.2500 0.2500  4 Pt 2.67, 4 Zn 2.67
3 Ru 0.7500 0.7500 0.7500  4 Pt 2.67, 4 Zn 2.67
4 Pt 0.5000 0.5000 0.5000  4 Ru 2.67, 4 Zn 2.67

* calculated total energy: -4.485 eV per atom
* density of states at the Fermi level: 3.549 states/eV/cell